A plane-wave DFT calculation with PBE with a Hubbard U was carried out for an optimized crystal structure of ThTl2Mo3O12.

- Space group: R-3m
- Total DFT energy (no corrections): -125.19 eV for the cell shown
- Magnetic moment: 0.00 μB per cell
- Mass density: 5.9 g/cm³

Geometry as POSCAR:
```
ThTl2Mo3O12
1.0
3.748 2.164 6.496
-3.748 2.164 6.496
0.000 -4.328 6.496
Th Tl Mo O
1 2 3 12
Cartesian
0.000 0.000 0.000
0.000 0.000 6.447
0.000 0.000 13.042
-3.748 0.000 9.744
-1.874 1.082 3.248
1.874 1.082 3.248
-2.406 -1.389 9.540
0.000 -2.438 5.153
-2.111 1.219 5.153
0.000 -2.778 9.948
-2.406 1.389 9.948
-2.111 -1.219 14.335
2.111 1.219 5.153
2.406 -1.389 9.540
0.000 2.779 9.540
2.111 -1.219 14.335
0.000 2.438 14.335
2.406 1.389 9.948
```